VASP calculation (PBE-GGA) on UNbHg after structural relaxation.

Output
Calculated volume: 24.296 Å³/atom
Polymorph energy (0 for the lowest one): 0.0 kJ/mol of atoms
Calculated formation energy: 0.97 eV per atom

a = 4.6887 Å, b = 4.6887 Å, c = 4.6887 Å
α = 60.00°, β = 60.00°, γ = 60.00°
Element x y z (fractional)
U 0.0000 0.0000 0.0000
Nb 0.7500 0.7500 0.7500
Hg 0.5000 0.5000 0.5000